Entry 1:
Crystalline TmZrTcAg at its relaxed geometry. Source: Alexandria via LeMat-Bulk, functional PBE.

a b c (Å): 6.824 6.824 6.824
angles (deg): 90.00 90.00 90.00
Atoms (fractional coordinates):
Tm 0.000 0.000 0.000
Tm 0.000 0.500 0.500
Tm 0.500 0.000 0.500
Tm 0.500 0.500 0.000
Zr 0.000 0.000 0.500
Zr 0.000 0.500 0.000
Zr 0.500 0.000 0.000
Zr 0.500 0.500 0.500
Tc 0.250 0.250 0.750
Tc 0.250 0.750 0.250
Tc 0.750 0.250 0.250
Tc 0.750 0.750 0.750
Ag 0.250 0.250 0.250
Ag 0.250 0.750 0.750
Ag 0.750 0.250 0.750
Ag 0.750 0.750 0.250

Output
Volume, A^3/atom: 19.86
Uncorrected energy, eV/atom: -6.73
Size of the total moment, μB per atom: 0.00
Theoretical density, g/cm3: 9.743
Energy of formation, eV per atom: -0.17

***

Entry 2:
Crystalline VTcAgW2 at its relaxed geometry. Source: Alexandria via LeMat-Bulk, functional PBE.

a b c (Å): 4.456 4.456 4.728
angles (deg): 90.00 90.00 90.00
Atoms (fractional coordinates):
V 0.000 0.000 0.000
Tc 0.500 0.500 0.500
Ag 0.000 0.000 0.500
W 0.000 0.500 0.000
W 0.500 0.000 0.000

Output
Volume, A^3/atom: 18.77
Uncorrected energy, eV/atom: -7.79
Size of the total moment, μB per atom: 0.35
Theoretical density, g/cm3: 11.048
Energy of formation, eV per atom: 1.86

***

Entry 3:
Crystalline TcAg3W at its relaxed geometry. Source: Alexandria via LeMat-Bulk, functional PBE.

a b c (Å): 5.025 5.025 5.025
angles (deg): 90.00 90.00 90.00
Atoms (fractional coordinates):
Tc 0.000 0.000 0.000
Ag 0.000 0.500 0.500
Ag 0.500 0.000 0.500
Ag 0.500 0.500 0.000
W 0.500 0.500 0.500

Output
Volume, A^3/atom: 25.37
Uncorrected energy, eV/atom: -4.11
Size of the total moment, μB per atom: 0.71
Theoretical density, g/cm3: 7.924
Polymorph energy (0 for the lowest one), meV/atom: 0
Energy of formation, eV per atom: 2.27

***

Entry 4:
Crystalline TcAgW2 at its relaxed geometry. Source: Alexandria via LeMat-Bulk, functional PBE.

a b c (Å): 6.363 6.363 6.363
angles (deg): 90.00 90.00 90.00
Atoms (fractional coordinates):
Tc 0.000 0.000 0.000
Tc 0.000 0.500 0.500
Tc 0.500 0.000 0.500
Tc 0.500 0.500 0.000
Ag 0.000 0.000 0.500
Ag 0.000 0.500 0.000
Ag 0.500 0.000 0.000
Ag 0.500 0.500 0.500
W 0.250 0.250 0.250
W 0.250 0.250 0.750
W 0.250 0.750 0.250
W 0.250 0.750 0.750
W 0.750 0.250 0.250
W 0.750 0.250 0.750
W 0.750 0.750 0.250
W 0.750 0.750 0.750

Output
Volume, A^3/atom: 16.10
Uncorrected energy, eV/atom: -9.06
Size of the total moment, μB per atom: 0.00
Theoretical density, g/cm3: 14.791
Polymorph energy (0 for the lowest one), meV/atom: 402
Energy of formation, eV per atom: 0.72

***

Entry 5:
Crystalline TcAgW2 at its relaxed geometry. Source: Alexandria via LeMat-Bulk, functional PBE.

a b c (Å): 5.571 8.196 2.782
angles (deg): 90.00 90.00 90.00
Atoms (fractional coordinates):
Tc 0.000 0.000 0.000
Tc 0.500 0.500 0.000
Ag 0.000 0.500 0.000
Ag 0.500 0.000 0.000
W 0.250 0.250 0.500
W 0.250 0.750 0.500
W 0.750 0.250 0.500
W 0.750 0.750 0.500

Output
Volume, A^3/atom: 15.88
Uncorrected energy, eV/atom: -9.30
Size of the total moment, μB per atom: 0.00
Theoretical density, g/cm3: 14.996
Polymorph energy (0 for the lowest one), meV/atom: 161
Energy of formation, eV per atom: 0.48

***

Entry 6:
Crystalline TcAgW2 at its relaxed geometry. Source: Alexandria via LeMat-Bulk, functional PBE.

a b c (Å): 4.028 4.028 7.839
angles (deg): 90.00 90.00 90.00
Atoms (fractional coordinates):
Tc 0.000 0.000 0.000
Tc 0.500 0.500 0.500
Ag 0.000 0.500 0.250
Ag 0.500 0.000 0.750
W 0.000 0.000 0.500
W 0.000 0.500 0.750
W 0.500 0.000 0.250
W 0.500 0.500 0.000

Output
Volume, A^3/atom: 15.90
Uncorrected energy, eV/atom: -9.25
Size of the total moment, μB per atom: 0.00
Theoretical density, g/cm3: 14.974
Polymorph energy (0 for the lowest one), meV/atom: 213
Energy of formation, eV per atom: 0.53

***

Entry 7:
Crystalline TcAgW2 at its relaxed geometry. Source: Alexandria via LeMat-Bulk, functional PBE.

a b c (Å): 2.848 2.848 28.013
angles (deg): 90.00 90.00 120.00
Atoms (fractional coordinates):
Tc 0.000 0.000 0.000
Tc 0.333 0.667 0.667
Tc 0.667 0.333 0.333
Ag 0.000 0.000 0.755
Ag 0.333 0.667 0.421
Ag 0.667 0.333 0.088
W 0.000 0.000 0.260
W 0.000 0.000 0.510
W 0.333 0.667 0.176
W 0.333 0.667 0.927
W 0.667 0.333 0.593
W 0.667 0.333 0.843

Output
Volume, A^3/atom: 16.40
Uncorrected energy, eV/atom: -9.34
Size of the total moment, μB per atom: 0.00
Theoretical density, g/cm3: 14.518
Polymorph energy (0 for the lowest one), meV/atom: 118
Energy of formation, eV per atom: 0.44

***

Entry 8:
Crystalline TcAgW2 at its relaxed geometry. Source: Alexandria via LeMat-Bulk, functional PBE.

a b c (Å): 2.690 4.392 5.592
angles (deg): 90.00 103.27 90.00
Atoms (fractional coordinates):
Tc 0.000 0.000 0.000
Ag 0.469 0.500 0.742
W 0.429 0.500 0.233
W 0.920 0.000 0.488

Output
Volume, A^3/atom: 16.07
Uncorrected energy, eV/atom: -9.33
Size of the total moment, μB per atom: 0.00
Theoretical density, g/cm3: 14.813
Polymorph energy (0 for the lowest one), meV/atom: 131
Energy of formation, eV per atom: 0.45

***

Entry 9:
Crystalline TcAgW2 at its relaxed geometry. Source: Alexandria via LeMat-Bulk, functional PBE.

a b c (Å): 3.301 3.301 5.981
angles (deg): 90.00 90.00 90.00
Atoms (fractional coordinates):
Tc 0.000 0.000 0.000
Ag 0.500 0.500 0.725
W 0.000 0.000 0.452
W 0.500 0.500 0.218

Output
Volume, A^3/atom: 16.29
Uncorrected energy, eV/atom: -9.32
Size of the total moment, μB per atom: 0.00
Theoretical density, g/cm3: 14.612
Polymorph energy (0 for the lowest one), meV/atom: 140
Energy of formation, eV per atom: 0.46

***

Entry 10:
Crystalline TcAgW2 at its relaxed geometry. Source: Alexandria via LeMat-Bulk, functional PBE.

a b c (Å): 9.334 2.978 4.791
angles (deg): 90.00 104.50 90.00
Atoms (fractional coordinates):
Tc 0.000 0.000 0.000
Tc 0.500 0.500 0.000
Ag 0.260 0.500 0.259
Ag 0.760 0.000 0.259
W 0.021 0.500 0.515
W 0.265 0.000 0.765
W 0.521 0.000 0.515
W 0.765 0.500 0.765

Output
Volume, A^3/atom: 16.12
Uncorrected energy, eV/atom: -9.27
Size of the total moment, μB per atom: 0.00
Theoretical density, g/cm3: 14.773
Polymorph energy (0 for the lowest one), meV/atom: 187
Energy of formation, eV per atom: 0.51

***

Entry 11:
Crystalline TcAgW2 at its relaxed geometry. Source: Alexandria via LeMat-Bulk, functional PBE.

a b c (Å): 3.179 4.436 9.213
angles (deg): 90.00 90.00 90.00
Atoms (fractional coordinates):
Tc 0.000 0.000 0.000
Tc 0.500 0.500 0.000
Ag 0.000 0.500 0.737
Ag 0.500 0.000 0.737
W 0.000 0.000 0.474
W 0.000 0.500 0.232
W 0.500 0.000 0.232
W 0.500 0.500 0.474

Output
Volume, A^3/atom: 16.24
Uncorrected energy, eV/atom: -9.46
Size of the total moment, μB per atom: 0.00
Theoretical density, g/cm3: 14.662
Polymorph energy (0 for the lowest one), meV/atom: 0
Energy of formation, eV per atom: 0.32

***

Entry 12:
Crystalline TcAgW2 at its relaxed geometry. Source: Alexandria via LeMat-Bulk, functional PBE.

a b c (Å): 3.977 3.977 7.995
angles (deg): 90.00 90.00 90.00
Atoms (fractional coordinates):
Tc 0.000 0.000 0.000
Tc 0.500 0.500 0.500
Ag 0.000 0.000 0.500
Ag 0.500 0.500 0.000
W 0.000 0.500 0.250
W 0.000 0.500 0.750
W 0.500 0.000 0.250
W 0.500 0.000 0.750

Output
Volume, A^3/atom: 15.81
Uncorrected energy, eV/atom: -9.31
Size of the total moment, μB per atom: 0.00
Theoretical density, g/cm3: 15.061
Polymorph energy (0 for the lowest one), meV/atom: 151
Energy of formation, eV per atom: 0.47

***

Entry 13:
Crystalline TcAgW2 at its relaxed geometry. Source: Alexandria via LeMat-Bulk, functional PBE.

a b c (Å): 5.530 9.051 2.680
angles (deg): 90.00 107.38 90.00
Atoms (fractional coordinates):
Tc 0.000 0.000 0.000
Tc 0.500 0.500 0.000
Ag 0.000 0.500 0.000
Ag 0.500 0.000 0.000
W 0.250 0.250 0.500
W 0.250 0.750 0.500
W 0.750 0.250 0.500
W 0.750 0.750 0.500

Output
Volume, A^3/atom: 16.00
Uncorrected energy, eV/atom: -9.30
Size of the total moment, μB per atom: 0.00
Theoretical density, g/cm3: 14.879
Polymorph energy (0 for the lowest one), meV/atom: 163
Energy of formation, eV per atom: 0.48

***

Entry 14:
Crystalline TcAgW2 at its relaxed geometry. Source: Alexandria via LeMat-Bulk, functional PBE.

a b c (Å): 2.805 2.805 28.468
angles (deg): 90.00 90.00 120.00
Atoms (fractional coordinates):
Tc 0.000 0.000 0.000
Tc 0.333 0.667 0.667
Tc 0.667 0.333 0.333
Ag 0.000 0.000 0.500
Ag 0.333 0.667 0.167
Ag 0.667 0.333 0.833
W 0.000 0.000 0.255
W 0.000 0.000 0.745
W 0.333 0.667 0.412
W 0.333 0.667 0.922
W 0.667 0.333 0.078
W 0.667 0.333 0.588

Output
Volume, A^3/atom: 16.16
Uncorrected energy, eV/atom: -9.37
Size of the total moment, μB per atom: 0.00
Theoretical density, g/cm3: 14.733
Polymorph energy (0 for the lowest one), meV/atom: 90
Energy of formation, eV per atom: 0.41

***

Entry 15:
Crystalline TcAgW2 at its relaxed geometry. Source: Alexandria via LeMat-Bulk, functional PBE.

a b c (Å): 3.314 4.392 8.829
angles (deg): 90.00 90.00 90.00
Atoms (fractional coordinates):
Tc 0.000 0.000 0.000
Tc 0.500 0.500 0.500
Ag 0.000 0.000 0.500
Ag 0.500 0.500 0.000
W 0.000 0.500 0.267
W 0.000 0.500 0.733
W 0.500 0.000 0.233
W 0.500 0.000 0.767

Output
Volume, A^3/atom: 16.06
Uncorrected energy, eV/atom: -9.29
Size of the total moment, μB per atom: 0.00
Theoretical density, g/cm3: 14.822
Polymorph energy (0 for the lowest one), meV/atom: 166
Energy of formation, eV per atom: 0.49

***

Entry 16:
Crystalline Tc2AgW2 at its relaxed geometry. Source: Alexandria via LeMat-Bulk, functional PBE.

a b c (Å): 4.169 4.169 10.961
angles (deg): 90.00 90.00 90.00
Atoms (fractional coordinates):
Tc 0.000 0.500 0.250
Tc 0.000 0.500 0.750
Tc 0.500 0.000 0.250
Tc 0.500 0.000 0.750
Ag 0.000 0.000 0.000
Ag 0.500 0.500 0.500
W 0.000 0.000 0.377
W 0.000 0.000 0.623
W 0.500 0.500 0.123
W 0.500 0.500 0.877

Output
Volume, A^3/atom: 19.05
Uncorrected energy, eV/atom: -9.12
Size of the total moment, μB per atom: 0.00
Theoretical density, g/cm3: 11.706
Polymorph energy (0 for the lowest one), meV/atom: 380
Energy of formation, eV per atom: 0.78

***

Entry 17:
Crystalline Tc2AgW2 at its relaxed geometry. Source: Alexandria via LeMat-Bulk, functional PBE.

a b c (Å): 7.537 7.537 2.933
angles (deg): 90.00 90.00 90.00
Atoms (fractional coordinates):
Tc 0.144 0.356 0.000
Tc 0.356 0.856 0.000
Tc 0.644 0.144 0.000
Tc 0.856 0.644 0.000
Ag 0.000 0.000 0.000
Ag 0.500 0.500 0.000
W 0.152 0.652 0.500
W 0.348 0.152 0.500
W 0.652 0.848 0.500
W 0.848 0.348 0.500

Output
Volume, A^3/atom: 16.66
Uncorrected energy, eV/atom: -9.50
Size of the total moment, μB per atom: 0.00
Theoretical density, g/cm3: 13.386
Polymorph energy (0 for the lowest one), meV/atom: 0
Energy of formation, eV per atom: 0.40

***

Entry 18:
Crystalline TcAg3W at its relaxed geometry. Source: Alexandria via LeMat-Bulk, functional PBE.

a b c (Å): 4.888 4.888 4.888
angles (deg): 90.00 90.00 90.00
Atoms (fractional coordinates):
Tc 0.000 0.000 0.000
Ag 0.000 0.000 0.500
Ag 0.000 0.500 0.000
Ag 0.500 0.000 0.000
W 0.500 0.500 0.500

Output
Volume, A^3/atom: 23.36
Uncorrected energy, eV/atom: -3.85
Size of the total moment, μB per atom: 0.39
Theoretical density, g/cm3: 8.606
Polymorph energy (0 for the lowest one), meV/atom: 256
Energy of formation, eV per atom: 2.52

***

Entry 19:
Crystalline TcAgW2 at its relaxed geometry. Source: Alexandria via LeMat-Bulk, functional PBE.

a b c (Å): 7.252 7.252 5.414
angles (deg): 90.00 90.00 90.00
Atoms (fractional coordinates):
Tc 0.000 0.000 0.000
Tc 0.000 0.500 0.250
Tc 0.500 0.000 0.750
Tc 0.500 0.500 0.500
Ag 0.000 0.000 0.500
Ag 0.000 0.500 0.750
Ag 0.500 0.000 0.250
Ag 0.500 0.500 0.000
W 0.214 0.750 0.125
W 0.250 0.214 0.875
W 0.250 0.286 0.375
W 0.286 0.750 0.625
W 0.714 0.250 0.625
W 0.750 0.714 0.375
W 0.750 0.786 0.875
W 0.786 0.250 0.125

Output
Volume, A^3/atom: 17.80
Uncorrected energy, eV/atom: -8.73
Size of the total moment, μB per atom: 0.00
Theoretical density, g/cm3: 13.379
Polymorph energy (0 for the lowest one), meV/atom: 726
Energy of formation, eV per atom: 1.05

***

Entry 20:
Crystalline TcAgW3 at its relaxed geometry. Source: Alexandria via LeMat-Bulk, functional PBE.

a b c (Å): 4.710 4.710 4.710
angles (deg): 90.00 90.00 90.00
Atoms (fractional coordinates):
Tc 0.000 0.000 0.000
Ag 0.500 0.500 0.500
W 0.000 0.000 0.500
W 0.000 0.500 0.000
W 0.500 0.000 0.000

Output
Volume, A^3/atom: 20.90
Uncorrected energy, eV/atom: -8.46
Size of the total moment, μB per atom: 0.00
Theoretical density, g/cm3: 12.037
Polymorph energy (0 for the lowest one), meV/atom: 0
Energy of formation, eV per atom: 1.96